[1]
Crystalline Cs3Er3SnS8 at its relaxed geometry. Source: Alexandria, functional GGA-PBE.

Values from the calculation:
total energy: -5.0993 eV per atom

Lattice parameters (Å, degrees): 9.4371 9.4371 9.4371 49.93 49.93 49.93
Fractional positions:
Cs1 0.0000 0.5000 0.5000
Cs2 0.5000 0.0000 0.5000
Cs3 0.5000 0.5000 0.0000
Er1 0.0000 0.0000 0.5000
Er2 0.0000 0.5000 0.0000
Er3 0.5000 0.0000 0.0000
Sn1 0.5000 0.5000 0.5000
S1 0.2259 0.2259 0.2259
S2 0.2379 0.7188 0.7188
S3 0.2812 0.2812 0.7621
S4 0.2812 0.7621 0.2812
S5 0.7188 0.2379 0.7188
S6 0.7188 0.7188 0.2379
S7 0.7621 0.2812 0.2812
S8 0.7741 0.7741 0.7741

[2]
Crystalline Cs3Tb2ErS6 at its relaxed geometry. Source: Alexandria, functional GGA-PBE.

Values from the calculation:
total energy: -5.2615 eV per atom

Lattice parameters (Å, degrees): 7.1157 7.1157 8.4084 98.11 98.11 120.00
Fractional positions:
Cs1 0.0000 0.0000 0.0000
Cs2 0.3329 0.6671 0.0000
Cs3 0.6671 0.3329 0.0000
Tb1 0.1666 0.8334 0.5000
Tb2 0.8334 0.1666 0.5000
Er1 0.5000 0.5000 0.5000
S1 0.1094 0.4395 0.3186
S2 0.2304 0.2304 0.6816
S3 0.4395 0.1094 0.3186
S4 0.5605 0.8906 0.6814
S5 0.7696 0.7696 0.3184
S6 0.8906 0.5605 0.6814

[3]
Crystalline Cs3ErTh2S6 at its relaxed geometry. Source: Alexandria, functional GGA-PBE.

Values from the calculation:
total energy: -5.5932 eV per atom

Lattice parameters (Å, degrees): 7.1646 7.1646 8.4725 98.11 98.11 120.00
Fractional positions:
Cs1 0.0000 0.0000 0.0000
Cs2 0.3325 0.6675 0.0000
Cs3 0.6675 0.3325 0.0000
Er1 0.5000 0.5000 0.5000
Th1 0.1665 0.8335 0.5000
Th2 0.8335 0.1665 0.5000
S1 0.1111 0.4380 0.3138
S2 0.2356 0.2356 0.6868
S3 0.4380 0.1111 0.3138
S4 0.5620 0.8889 0.6862
S5 0.7644 0.7644 0.3132
S6 0.8889 0.5620 0.6862

no.,uncorrected formation energy (kcal/mol of atoms)
1,-35.69
2,-42.26
3,-39.19